# 1
This record from the Alexandria database describes a relaxed structure of LuTaCo2. The functional is PBE-GGA.

```
LuTaCo2
1.0
4.529 0.000 0.000
0.000 4.529 0.000
0.000 0.000 3.039
Lu Ta Co
1 1 2
direct
0.000 0.000 0.000 Lu
0.500 0.500 0.000 Ta
0.000 0.500 0.500 Co
0.500 0.000 0.500 Co
```

Results
energy above the lowest structure with this stoichiometry = 0.093 eV/atom
Fermi-level density of states = 0.940 states/eV/atom
ΔE_f = -0.53 eV per formula unit
SG = No. 123
total magnetic moment = 1.27 Bohr magnetons per cell

# 2
This record from the Alexandria database describes a relaxed structure of Lu2TaCo. The functional is PBE-GGA.

```
Lu2TaCo
1.0
1.569 0.906 9.849
-1.569 0.906 9.849
0.000 -1.812 9.849
Lu Ta Co
2 1 1
direct
0.101 0.101 0.101 Lu
0.899 0.899 0.899 Lu
0.000 0.000 0.000 Ta
0.500 0.500 0.500 Co
```

Results
Fermi-level density of states = 0.997 states/eV/atom
ΔE_f = 2.08 eV per formula unit
SG = No. 166
total magnetic moment = 0.59 Bohr magnetons per cell

# 3
This record from the Alexandria database describes a relaxed structure of LuTaCo2. The functional is PBE-GGA.

```
LuTaCo2
1.0
3.099 0.000 0.000
0.000 3.099 0.000
0.000 0.000 6.628
Lu Ta Co
1 1 2
direct
0.000 0.000 0.000 Lu
0.000 0.000 0.500 Ta
0.500 0.500 0.292 Co
0.500 0.500 0.708 Co
```

Results
energy above the lowest structure with this stoichiometry = 0.000 eV/atom
Fermi-level density of states = 1.079 states/eV/atom
ΔE_f = -0.90 eV per formula unit
SG = No. 123
total magnetic moment = 0.00 Bohr magnetons per cell

# 4
This record from the Alexandria database describes a relaxed structure of LuTaCo4. The functional is PBE-GGA.

```
LuTaCo4
1.0
0.000 3.437 3.437
3.437 0.000 3.437
3.437 3.437 0.000
Lu Ta Co
1 1 4
direct
0.000 0.000 0.000 Lu
0.250 0.250 0.250 Ta
0.125 0.625 0.625 Co
0.625 0.125 0.625 Co
0.625 0.625 0.125 Co
0.625 0.625 0.625 Co
```

Results
Fermi-level density of states = 1.310 states/eV/atom
ΔE_f = -1.07 eV per formula unit
SG = No. 216
total magnetic moment = 2.20 Bohr magnetons per cell

> Which formula does entry 3 have?

LuTaCo2

> What is the total magnetic moment in the third record?

0.00 Bohr magnetons per cell

> Look up the ΔE_f of the first one.

-0.53 eV per formula unit